1.
Computed, not measured: a geometry-optimized Li3TmPt2 structure at the PBE level of DFT.

Its energy of formation is -0.715 eV/atom. For the density of states at the Fermi level, the calculation gives 8.858 states/eV/cell. The value obtained for the size of the total moment is 0.0 μB per cell.

The structure belongs to space group C2/m (No. 12); the cell edges are 13.4440, 4.0712 and 8.4479 Å and the angles 90.00°, 120.25° and 90.00°. The asymmetric unit holds Li at (0.0583, 0.0000, 0.3955), Li at (0.0809, 0.5000, 0.6936), Li at (0.2266, 0.5000, 0.5616), Tm at (0.1330, 0.0000, 0.0129), Pt at (0.0658, 0.5000, 0.1921) and Pt at (0.2080, 0.0000, 0.7491).

2.
Computed, not measured: a geometry-optimized BaSiPt2 structure at the PBE level of DFT.

For the total energy, the calculation gives -20.80 eV/cell. For the density of states at the Fermi level, the calculation gives 1.470 states/eV/cell. The value obtained for the size of the total moment is 0.0 μB per cell.

The structure belongs to space group Pmm2 (No. 25); the cell edges are 3.5160, 3.5849 and 6.8603 Å and the angles 90.00°, 90.00° and 90.00°. The asymmetric unit holds Ba at (0.0000, 0.0000, 0.0000), Si at (0.5000, 0.5000, 0.3610), Pt at (0.0000, 0.0000, 0.4805) and Pt at (0.5000, 0.5000, 0.7012).

3.
Computed, not measured: a geometry-optimized GaHgAu2O6 structure at the PBE level of DFT.

For the total energy, the calculation gives -172.91 eV/cell. For the density of states at the Fermi level, the calculation gives 16.291 states/eV/cell. The value obtained for the size of the total moment is 0.0 μB per cell.

The structure belongs to space group C2/c (No. 15); the cell edges are 11.6424, 7.7016 and 7.1908 Å and the angles 90.00°, 113.61° and 90.00°. The asymmetric unit holds Ga at (0.0000, 0.1756, 0.2500), Hg at (0.0000, 0.2363, 0.7500), Au at (0.2005, 0.4596, 0.5902), O at (0.0325, 0.3357, 0.4602), O at (0.1144, 0.0028, 0.2440) and O at (0.1926, 0.3882, 0.8536).

4.
Computed, not measured: a geometry-optimized TbHgAu2 structure at the PBE level of DFT.

Its energy of formation is -0.428 eV/atom. For the density of states at the Fermi level, the calculation gives 7.222 states/eV/cell. The value obtained for the size of the total moment is 0.0 μB per cell.

The structure belongs to space group R3m (No. 160, hexagonal axes); the cell edges are 4.1579, 4.1579 and 20.5668 Å and the angles 90.00°, 90.00° and 120.00°. The asymmetric unit holds Tb at (0.0000, 0.0000, 0.0000), Hg at (0.0000, 0.0000, 0.1678), Au at (0.0000, 0.0000, 0.4171) and Au at (0.0000, 0.0000, 0.5835).

5.
Computed, not measured: a geometry-optimized KBBr2 structure at the PBE level of DFT.

For the density of states at the Fermi level, the calculation gives 0.000 states/eV/cell. The energy above the most stable polymorph in this dataset is 0 meV per atom. The value obtained for the size of the total moment is 0.0 μB per cell.

The structure belongs to space group I-42d (No. 122); the cell edges are 6.5083, 6.5083 and 13.7344 Å and the angles 90.00°, 90.00° and 90.00°. The asymmetric unit holds K at (0.0000, 0.0000, 0.0000), B at (0.0000, 0.0000, 0.5000) and Br at (0.1520, 0.2500, 0.6250).

6.
Computed, not measured: a geometry-optimized BaTcHg2 structure at the PBE level of DFT.

Its energy of formation is 0.023 eV/atom. For the density of states at the Fermi level, the calculation gives 5.262 states/eV/cell. The energy above the most stable polymorph in this dataset is 44 meV per atom. The value obtained for the size of the total moment is 0.0 μB per cell.

The structure belongs to space group Pm (No. 6); the cell edges are 5.9284, 4.0079 and 9.8293 Å and the angles 90.00°, 105.82° and 90.00°. The asymmetric unit holds Ba at (0.0000, 0.0000, 0.0000), Ba at (0.2763, 0.0000, 0.6272), Tc at (0.4956, 0.5000, 0.3803), Tc at (0.7026, 0.0000, 0.4657), Hg at (0.4656, 0.5000, 0.9277), Hg at (0.5718, 0.0000, 0.1728), Hg at (0.7907, 0.5000, 0.6934) and Hg at (0.9965, 0.5000, 0.3420).

7.
Computed, not measured: a geometry-optimized NiPPb structure at the PBE level of DFT.

Its energy of formation is 0.154 eV/atom. For the density of states at the Fermi level, the calculation gives 6.882 states/eV/cell. The value obtained for the size of the total moment is 0.0 μB per cell.

The structure belongs to space group Amm2 (No. 38); the cell edges are 3.5944, 18.9943 and 5.5353 Å and the angles 90.00°, 90.00° and 90.00°. The asymmetric unit holds Ni at (0.0000, 0.0000, 0.0000), Ni at (0.0000, 0.2487, 0.1121), P at (0.0000, 0.0000, 0.6351), P at (0.5000, 0.2107, 0.3633), Pb at (0.5000, 0.0000, 0.3157) and Pb at (0.5000, 0.1293, 0.8526).

8.
Computed, not measured: a geometry-optimized Ti2Pd3Au3 structure at the PBE level of DFT.

Its energy of formation is -0.337 eV/atom. For the density of states at the Fermi level, the calculation gives 20.052 states/eV/cell. The energy above the most stable polymorph in this dataset is 91 meV per atom. The value obtained for the size of the total moment is 0.0 μB per cell.

The structure belongs to space group Cmcm (No. 63); the cell edges are 4.5128, 9.3876 and 13.0126 Å and the angles 90.00°, 90.00° and 90.00°. The asymmetric unit holds Ti at (0.0000, 0.2323, 0.1067), Pd at (0.0000, 0.3883, 0.5600), Pd at (0.0000, 0.4261, 0.2500), Au at (0.0000, 0.0778, 0.5915) and Au at (0.0000, 0.2685, 0.7500).